No. 1
# TaNiTe2

A crystal of TaNiTe2 relaxed with PBEsol (SCAN, Alexandria).

CIF file:
```
data_TaNiTe2
_chemical_formula_sum 'Ta1 Ni1 Te2'
_symmetry_space_group_name_H-M 'P 3 m 1'
_symmetry_Int_Tables_number 156
_cell_length_a 3.9530
_cell_length_b 3.9530
_cell_length_c 6.8509
_cell_angle_alpha 90.00
_cell_angle_beta 90.00
_cell_angle_gamma 120.00
loop_
_symmetry_equiv_pos_as_xyz
'x,y,z'
'-y,x-y,z'
'-x+y,-x,z'
'-y,-x,z'
'-x+y,y,z'
'x,x-y,z'
loop_
_atom_site_label
_atom_site_type_symbol
_atom_site_fract_x
_atom_site_fract_y
_atom_site_fract_z
Ta1 Ta 0.0000 0.0000 0.0000
Ni1 Ni 0.6667 0.3333 0.1396
Te1 Te 0.3333 0.6667 0.2976
Te2 Te 0.6667 0.3333 0.7522
```

Summary:
* total moment: 0.002 μB per atom
* N(E_F): 0.856 states/eV/atom
* offset from the most stable computed form: 36 meV/atom
* raw formation energy: -0.36 eV per atom
* total DFT energy (no corrections): -158.69 eV per cell

No. 2
# TaNiTe2

A crystal of TaNiTe2 relaxed with PBEsol (SCAN, Alexandria).

CIF file:
```
data_TaNiTe2
_chemical_formula_sum 'Ta4 Ni4 Te8'
_symmetry_space_group_name_H-M 'F m -3 m'
_symmetry_Int_Tables_number 225
_symmetry_space_group_name_Hall '-F 4 2 3'
_cell_length_a 6.701
_cell_length_b 6.701
_cell_length_c 6.701
_cell_angle_alpha 90.00
_cell_angle_beta 90.00
_cell_angle_gamma 90.00
loop_
_atom_site_label
_atom_site_type_symbol
_atom_site_fract_x
_atom_site_fract_y
_atom_site_fract_z
Ta1 Ta 0.000 0.000 0.000
Ni1 Ni 0.000 0.000 0.500
Te1 Te 0.250 0.250 0.250
```

Summary:
* total moment: 0.001 μB per atom
* N(E_F): 0.990 states/eV/atom
* offset from the most stable computed form: 792 meV/atom
* raw formation energy: 0.40 eV per atom
* total DFT energy (no corrections): -622.65 eV per cell

No. 3
# Ta2NiTe

A crystal of Ta2NiTe relaxed with PBEsol (SCAN, Alexandria).

CIF file:
```
data_Ta2NiTe
_chemical_formula_sum 'Ta4 Ni2 Te2'
_symmetry_space_group_name_H-M 'I m m 2'
_symmetry_Int_Tables_number 44
_cell_length_a 3.332
_cell_length_b 4.593
_cell_length_c 8.631
_cell_angle_alpha 90.00
_cell_angle_beta 90.00
_cell_angle_gamma 90.00
loop_
_symmetry_equiv_pos_as_xyz
'x,y,z'
'-x,-y,z'
'-x,y,z'
'x,-y,z'
'x+1/2,y+1/2,z+1/2'
'-x+1/2,-y+1/2,z+1/2'
'-x+1/2,y+1/2,z+1/2'
'x+1/2,-y+1/2,z+1/2'
loop_
_atom_site_label
_atom_site_type_symbol
_atom_site_fract_x
_atom_site_fract_y
_atom_site_fract_z
Ta1 Ta 0.000 0.000 0.000
Ta2 Ta 0.000 0.500 0.221
Ni1 Ni 0.000 0.000 0.482
Te1 Te 0.000 0.500 0.765
```

Summary:
* total moment: 0.000 μB per atom
* N(E_F): 0.482 states/eV/atom
* raw formation energy: 0.12 eV per atom
* total DFT energy (no corrections): -372.22 eV per cell

No. 4
# TaTiNi6

A crystal of TaTiNi6 relaxed with PBEsol (SCAN, Alexandria).

CIF file:
```
data_TaTiNi6
_chemical_formula_sum 'Ta1 Ti1 Ni6'
_symmetry_space_group_name_H-M 'P -6 m 2'
_symmetry_Int_Tables_number 187
_symmetry_space_group_name_Hall 'P -6 2'
_cell_length_a 5.0570
_cell_length_b 5.0570
_cell_length_c 4.1816
_cell_angle_alpha 90.00
_cell_angle_beta 90.00
_cell_angle_gamma 120.00
loop_
_atom_site_label
_atom_site_type_symbol
_atom_site_fract_x
_atom_site_fract_y
_atom_site_fract_z
Ta1 Ta 0.0000 0.0000 0.0000
Ti1 Ti 0.3333 0.6667 0.5000
Ni1 Ni 0.3435 0.1717 0.5000
Ni2 Ni 0.5034 0.0067 0.0000
```

Summary:
* total moment: 0.000 μB per atom
* N(E_F): 0.482 states/eV/atom
* formation energy: -0.41 eV per atom
* total DFT energy (no corrections): -182.92 eV per cell